Compound: Ba2NiRuO6
Source: the Alexandria database
Functional: PBE+U
Structure: relaxed

Cell and atoms, written as extended XYZ:
```
20
Lattice="5.813 0.000 0.000 2.906 5.034 0.000 2.906 1.678 9.544" Properties=species:S:1:pos:R:3 pbc="T T T"
Ru 5.813 3.356 4.772
Ru 0.000 0.000 0.000
O 4.290 4.235 1.114
O 7.163 4.136 5.951
O 4.462 4.136 5.951
O 7.163 2.576 3.593
O 5.813 1.796 5.951
O 7.336 2.477 8.430
O 4.462 2.576 3.593
O 7.336 4.235 1.114
O 5.813 1.597 1.114
O 4.290 2.477 8.430
O 5.813 5.114 8.430
O 5.813 4.915 3.593
Ba 2.906 1.678 5.899
Ba 8.719 5.034 8.202
Ba 2.906 1.678 1.342
Ba 8.719 5.034 3.645
Ni 5.813 3.356 7.401
Ni 5.813 3.356 2.143
```

Computed properties:
**E**: -0.23064 Ha/atom
**Space-group type**: No. 166
**Calculated volume**: 279.3 Å³ per cell